This record from Alexandria describes a relaxed structure of Zn2CrTc. The functional is PBE.

Output
formation energy	273	meV per atom
density of states at the Fermi level	3.61	states/eV per cell
energy above the lowest structure with this stoichiometry	0.2340	eV/atom
theoretical density	8.15	g/cm³

Lattice parameters (Å, degrees): 3.2767 3.2767 5.3305 90.00 90.00 90.00
Fractional coordinates of all 4 atoms:
1 Tc 0.5000 0.5000 0.7500
2 Cr 0.5000 0.5000 0.2500
3 Zn 0.0000 0.0000 0.9986
4 Zn 0.0000 0.0000 0.5014

***

This record from Alexandria describes a relaxed structure of LaCeNiPd. The functional is PBE.

Output
formation energy	-418	meV per atom
density of states at the Fermi level	8.48	states/eV per cell
theoretical density	8.11	g/cm³

Lattice parameters (Å, degrees): 5.0476 5.0476 5.0476 60.00 60.00 60.00
Fractional coordinates of all 4 atoms:
1 Ni 0.2500 0.2500 0.2500
2 La 0.0000 0.0000 0.0000
3 Pd 0.7500 0.7500 0.7500
4 Ce 0.5000 0.5000 0.5000

***

This record from Alexandria describes a relaxed structure of Er2Th2Sc3. The functional is PBE.

Output
formation energy	49	meV per atom
density of states at the Fermi level	10.38	states/eV per cell
energy above the lowest structure with this stoichiometry	0.0052	eV/atom
theoretical density	7.79	g/cm³

Lattice parameters (Å, degrees): 3.4804 8.2712 7.6729 111.74 103.11 90.00
Fractional coordinates of all 7 atoms:
1 Sc 0.2884 0.8552 0.5768
2 Sc 0.0000 0.0000 0.0000
3 Sc 0.7116 0.1448 0.4232
4 Th 0.1417 0.4219 0.2835
5 Th 0.8583 0.5781 0.7165
6 Er 0.5765 0.7230 0.1529
7 Er 0.4235 0.2770 0.8471